[1]
A relaxed ZrCl4 crystal, computed with GGA-PBEsol.

a = 9.9269 Å, b = 9.9269 Å, c = 9.9269 Å
α = 160.31°, β = 160.31°, γ = 27.98°
Element x y z (fractional)
Zr1 0.0000 0.0000 0.0000
Cl1 0.2500 0.7500 0.5000
Cl2 0.4234 0.4234 0.0000
Cl3 0.5766 0.5766 0.0000
Cl4 0.7500 0.2500 0.5000

Summary:
Total moment ... 0.4 μB/f.u.
Space group ... I4/mmm (139)
E ... -4.04 eV per atom
Formation energy without anion corrections ... -0.620 eV per atom

---

[2]
A relaxed ZrCl2 crystal, computed with GGA-PBEsol.

a = 6.9020 Å, b = 6.9020 Å, c = 6.9020 Å
α = 28.14°, β = 28.14°, γ = 28.14°
Element x y z (fractional)
Zr1 0.0000 0.0000 0.0000
Cl1 0.5813 0.5813 0.5813
Cl2 0.7520 0.7520 0.7520

Summary:
Total moment ... 0.0 μB/f.u.
Space group ... R3m (160)
E ... -6.11 eV per atom
Formation energy without anion corrections ... -1.740 eV per atom

---

[3]
A relaxed ZrCl4 crystal, computed with GGA-PBEsol.

a = 6.4677 Å, b = 7.5046 Å, c = 6.2041 Å
α = 90.00°, β = 109.44°, γ = 90.00°
Element x y z (fractional)
Zr1 0.0000 0.1615 0.2500
Zr2 0.0000 0.8385 0.7500
Cl1 0.2235 0.1055 0.9990
Cl2 0.2235 0.8945 0.4990
Cl3 0.2531 0.3590 0.4811
Cl4 0.2531 0.6410 0.9811
Cl5 0.7469 0.3590 0.0189
Cl6 0.7469 0.6410 0.5189
Cl7 0.7765 0.1055 0.5010
Cl8 0.7765 0.8945 0.0010

Summary:
Total moment ... 0.0 μB/f.u.
Space group ... P2/c (13)
E ... -5.21 eV per atom
Formation energy without anion corrections ... -1.782 eV per atom

---

[4]
A relaxed Zr2Cl crystal, computed with GGA-PBEsol.

a = 5.8700 Å, b = 6.2947 Å, c = 3.1636 Å
α = 90.00°, β = 90.00°, γ = 90.00°
Element x y z (fractional)
Zr1 0.2029 0.1564 0.0000
Zr2 0.2971 0.6564 0.5000
Zr3 0.7029 0.3436 0.5000
Zr4 0.7971 0.8436 0.0000
Cl1 0.0000 0.5000 0.0000
Cl2 0.5000 0.0000 0.5000

Summary:
Total moment ... 0.0 μB/f.u.
Space group ... Pnnm (58)
E ... -7.26 eV per atom
Formation energy without anion corrections ... -0.535 eV per atom

---

[5]
A relaxed Zr3Cl2 crystal, computed with GGA-PBEsol.

a = 4.5400 Å, b = 4.5400 Å, c = 5.2933 Å
α = 90.00°, β = 90.00°, γ = 120.00°
Element x y z (fractional)
Zr1 0.0000 0.0000 0.0000
Zr2 0.3333 0.6667 0.3525
Zr3 0.6667 0.3333 0.6475
Cl1 0.3333 0.6667 0.8458
Cl2 0.6667 0.3333 0.1542

Summary:
Total moment ... 0.0 μB/f.u.
Space group ... P-3m1 (164)
E ... -6.40 eV per atom
Formation energy without anion corrections ... -0.145 eV per atom

---

[6]
A relaxed ZrCl2 crystal, computed with GGA-PBEsol.

a = 6.5357 Å, b = 6.5357 Å, c = 6.5357 Å
α = 152.07°, β = 152.07°, γ = 39.91°
Element x y z (fractional)
Zr1 0.0000 0.0000 0.0000
Cl1 0.3768 0.3768 0.0000
Cl2 0.6232 0.6232 0.0000

Summary:
Total moment ... 0.4 μB/f.u.
Space group ... I4/mmm (139)
E ... -5.83 eV per atom
Formation energy without anion corrections ... -1.466 eV per atom

---

[7]
A relaxed CrCo crystal, computed with GGA-PBEsol.

a = 4.7223 Å, b = 4.7223 Å, c = 5.8259 Å
α = 103.72°, β = 103.72°, γ = 29.87°
Element x y z (fractional)
Cr1 0.0000 0.0000 0.0000
Cr2 0.0616 0.0616 0.6188
Cr3 0.3783 0.3783 0.2882
Co1 0.3328 0.3328 0.6711
Co2 0.6617 0.6617 0.3352
Co3 0.7245 0.7245 0.9488

Summary:
Total moment ... 0.0 μB/f.u.
Space group ... Cm (8)
E ... -8.93 eV per atom
Calculated formation energy ... 0.06 eV per atom

---

[8]
A relaxed CrCo crystal, computed with GGA-PBEsol.

a = 4.2809 Å, b = 3.9435 Å, c = 4.9459 Å
α = 90.00°, β = 90.00°, γ = 90.00°
Element x y z (fractional)
Cr1 0.0938 0.2500 0.1220
Cr2 0.4062 0.7500 0.6220
Cr3 0.5938 0.2500 0.3780
Cr4 0.9062 0.7500 0.8780
Co1 0.0812 0.2500 0.6243
Co2 0.4188 0.7500 0.1243
Co3 0.5812 0.2500 0.8757
Co4 0.9188 0.7500 0.3757

Summary:
Total moment ... 0.0 μB/f.u.
Space group ... Pnma (62)
E ... -8.94 eV per atom
Calculated formation energy ... 0.05 eV per atom

---

[9]
A relaxed Cr2Co3 crystal, computed with GGA-PBEsol.

a = 10.1210 Å, b = 10.1210 Å, c = 10.1210 Å
α = 13.86°, β = 13.86°, γ = 13.86°
Element x y z (fractional)
Cr1 0.0991 0.0991 0.0991
Cr2 0.9009 0.9009 0.9009
Co1 0.2994 0.2994 0.2994
Co2 0.5000 0.5000 0.5000
Co3 0.7006 0.7006 0.7006

Summary:
Total moment ... 0.0 μB/f.u.
Space group ... R-3m (166)
E ... -8.63 eV per atom
Calculated formation energy ... 0.10 eV per atom

---

[10]
A relaxed CrCo5 crystal, computed with GGA-PBEsol.

a = 4.6358 Å, b = 4.6358 Å, c = 5.7681 Å
α = 103.73°, β = 103.73°, γ = 30.74°
Element x y z (fractional)
Cr1 0.0000 0.0000 0.0000
Co1 0.2776 0.2776 0.0564
Co2 0.3329 0.3329 0.6652
Co3 0.6114 0.6114 0.7227
Co4 0.6673 0.6673 0.3328
Co5 0.9462 0.9462 0.3888

Summary:
Total moment ... 4.4 μB/f.u.
Space group ... Cm (8)
E ... -8.12 eV per atom
Calculated formation energy ... 0.04 eV per atom

---

[11]
A relaxed CrCo5 crystal, computed with GGA-PBEsol.

a = 3.9195 Å, b = 6.4955 Å, c = 6.4955 Å
α = 21.78°, β = 90.00°, γ = 90.00°
Element x y z (fractional)
Cr1 0.0000 0.0000 0.0000
Co1 0.0000 0.3342 0.3342
Co2 0.0000 0.6689 0.6689
Co3 0.5000 0.2235 0.2235
Co4 0.5000 0.5579 0.5579
Co5 0.5000 0.8903 0.8903

Summary:
Total moment ... 4.4 μB/f.u.
Space group ... Amm2 (38)
E ... -8.13 eV per atom
Calculated formation energy ... 0.03 eV per atom

---

[12]
A relaxed CrCo crystal, computed with GGA-PBEsol.

a = 2.4555 Å, b = 2.4555 Å, c = 8.0736 Å
α = 90.00°, β = 90.00°, γ = 120.00°
Element x y z (fractional)
Cr1 0.3333 0.6667 0.3631
Cr2 0.6667 0.3333 0.6369
Co1 0.3333 0.6667 0.8756
Co2 0.6667 0.3333 0.1244

Summary:
Total moment ... 0.0 μB/f.u.
Space group ... P-3m1 (164)
E ... -8.86 eV per atom
Calculated formation energy ... 0.13 eV per atom

---

[13]
A relaxed CrCo crystal, computed with GGA-PBEsol.

a = 4.6715 Å, b = 4.6715 Å, c = 4.3234 Å
α = 117.31°, β = 117.31°, γ = 30.23°
Element x y z (fractional)
Cr1 0.1219 0.1219 0.4612
Cr2 0.8781 0.8781 0.5388
Co1 0.3748 0.3748 0.0422
Co2 0.6252 0.6252 0.9578

Summary:
Total moment ... 0.1 μB/f.u.
Space group ... C2/m (12)
E ... -8.93 eV per atom
Calculated formation energy ... 0.06 eV per atom

---

[14]
A relaxed Cr2CoCu crystal, computed with GGA-PBEsol.

a = 2.8916 Å, b = 2.8916 Å, c = 5.3196 Å
α = 90.00°, β = 90.00°, γ = 90.00°
Element x y z (fractional)
Cr1 0.0000 0.0000 0.0000
Cr2 0.5000 0.5000 0.2406
Co1 0.5000 0.5000 0.7595
Cu1 0.0000 0.0000 0.5087

Summary:
Total moment ... 1.6 μB/f.u.
Space group ... P4mm (99)
E ... -7.91 eV per atom
Calculated formation energy ... 0.23 eV per atom
Relative energy among the computed polymorphs ... 43 meV per atom

---

[15]
A relaxed Cr2CoCu crystal, computed with GGA-PBEsol.

a = 4.2629 Å, b = 4.2629 Å, c = 4.2629 Å
α = 130.06°, β = 130.06°, γ = 73.31°
Element x y z (fractional)
Cr1 0.0000 0.0000 0.0000
Cr2 0.7500 0.2500 0.5000
Co1 0.2500 0.7500 0.5000
Cu1 0.5000 0.5000 0.0000

Summary:
Total moment ... 1.8 μB/f.u.
Space group ... I-4m2 (119)
E ... -7.88 eV per atom
Calculated formation energy ... 0.26 eV per atom
Relative energy among the computed polymorphs ... 73 meV per atom

---

[16]
A relaxed Cr2CoCu crystal, computed with GGA-PBEsol.

a = 2.4164 Å, b = 2.4164 Å, c = 7.4226 Å
α = 90.00°, β = 90.00°, γ = 90.00°
Element x y z (fractional)
Cr1 0.0000 0.0000 0.2370
Cr2 0.0000 0.0000 0.7630
Co1 0.5000 0.5000 0.0000
Cu1 0.5000 0.5000 0.5000

Summary:
Total moment ... 0.0 μB/f.u.
Space group ... P4/mmm (123)
E ... -7.95 eV per atom
Calculated formation energy ... 0.19 eV per atom
Relative energy among the computed polymorphs ... 0 meV per atom

---

[17]
A relaxed CrCo2Cu crystal, computed with GGA-PBEsol.

a = 4.1595 Å, b = 4.1595 Å, c = 4.1595 Å
α = 129.49°, β = 129.49°, γ = 74.22°
Element x y z (fractional)
Cr1 0.0000 0.0000 0.0000
Co1 0.2500 0.7500 0.5000
Co2 0.7500 0.2500 0.5000
Cu1 0.5000 0.5000 0.0000

Summary:
Total moment ... 0.0 μB/f.u.
Space group ... I4/mmm (139)
E ... -7.38 eV per atom
Calculated formation energy ... 0.13 eV per atom

---

[18]
A relaxed CrCo2Cu crystal, computed with GGA-PBEsol.

a = 8.1676 Å, b = 8.1676 Å, c = 8.1676 Å
α = 17.32°, β = 17.32°, γ = 17.32°
Element x y z (fractional)
Cr1 0.0000 0.0000 0.0000
Co1 0.2531 0.2531 0.2531
Co2 0.7469 0.7469 0.7469
Cu1 0.5000 0.5000 0.5000

Summary:
Total moment ... 0.0 μB/f.u.
Space group ... R-3m (166)
E ... -7.40 eV per atom
Calculated formation energy ... 0.11 eV per atom

---

[19]
A relaxed Cr8FeCo2CuS16 crystal, computed with GGA-PBEsol.

a = 11.7885 Å, b = 11.7885 Å, c = 11.7885 Å
α = 33.58°, β = 33.58°, γ = 33.58°
Element x y z (fractional)
Cr1 0.0000 0.0000 0.0000
Cr2 0.2492 0.2492 0.7514
Cr3 0.2492 0.7514 0.2492
Cr4 0.2538 0.7440 0.7440
Cr5 0.4982 0.4982 0.4982
Cr6 0.7440 0.2538 0.7440
Cr7 0.7440 0.7440 0.2538
Cr8 0.7514 0.2492 0.2492
Fe1 0.3113 0.3113 0.3113
Co1 0.1867 0.1867 0.1867
Co2 0.8112 0.8112 0.8112
Cu1 0.6866 0.6866 0.6866
S1 0.1126 0.1126 0.6402
S2 0.1126 0.6402 0.1126
S3 0.1223 0.1223 0.1223
S4 0.1352 0.6179 0.6179
S5 0.3555 0.8862 0.8862
S6 0.3775 0.3775 0.3775
S7 0.3794 0.3794 0.8607
S8 0.3794 0.8607 0.3794
S9 0.6179 0.1352 0.6179
S10 0.6179 0.6179 0.1352
S11 0.6199 0.6199 0.6199
S12 0.6402 0.1126 0.1126
S13 0.8607 0.3794 0.3794
S14 0.8762 0.8762 0.8762
S15 0.8862 0.3555 0.8862
S16 0.8862 0.8862 0.3555

Summary:
Total moment ... 20.3 μB/f.u.
Space group ... R3m (160)
E ... -7.07 eV per atom
Formation energy without anion corrections ... -0.610 eV per atom

---

[20]
A relaxed Cr6Co2CuSe12 crystal, computed with GGA-PBEsol.

a = 6.4785 Å, b = 6.4785 Å, c = 16.7046 Å
α = 101.94°, β = 101.94°, γ = 32.21°
Element x y z (fractional)
Cr1 0.0019 0.0019 0.2573
Cr2 0.3323 0.3323 0.0729
Cr3 0.3349 0.3349 0.5937
Cr4 0.6651 0.6651 0.4063
Cr5 0.6677 0.6677 0.9271
Cr6 0.9981 0.9981 0.7427
Co1 0.1677 0.1677 0.1656
Co2 0.8323 0.8323 0.8344
Cu1 0.5000 0.5000 0.5000
Se1 0.1317 0.1317 0.0182
Se2 0.1441 0.1441 0.5082
Se3 0.1963 0.1963 0.8243
Se4 0.2013 0.2013 0.3139
Se5 0.4643 0.4643 0.3459
Se6 0.4694 0.4694 0.8462
Se7 0.5306 0.5306 0.1538
Se8 0.5357 0.5357 0.6541
Se9 0.7987 0.7987 0.6861
Se10 0.8037 0.8037 0.1757
Se11 0.8559 0.8559 0.4918
Se12 0.8683 0.8683 0.9818

Summary:
Total moment ... 18.6 μB/f.u.
Space group ... C2/m (12)
E ... -6.46 eV per atom
Formation energy without anion corrections ... -0.388 eV per atom